1.
# Np2CuP4, optimized geometry, DFT GGA-PBE
data_Np2CuP4
_cell_length_a 3.703
_cell_length_b 3.703
_cell_length_c 9.224
_cell_angle_alpha 90.00
_cell_angle_beta 90.00
_cell_angle_gamma 90.00
_symmetry_space_group_name_H-M 'P -4 m 2'
_symmetry_Int_Tables_number 115
_symmetry_space_group_name_Hall 'P -4 -2'
loop_
_atom_site_label
_atom_site_fract_x
_atom_site_fract_y
_atom_site_fract_z
Np1 0.000 0.500 0.240
Cu1 0.000 0.000 0.500
P1 0.000 0.000 0.000
P2 0.000 0.500 0.655
P3 0.500 0.500 0.000
# - total magnetization (μB per atom) = 0.906
# - calculated volume (Å³/f.u.) = 126.5
# - density of states at the Fermi level (states/eV/cell) = 12.0
# - calculated formation energy (meV per atom) = -575
# - uncorrected energy (eV per cell) = -55.64

=====

2.
# NpCu2P2, optimized geometry, DFT GGA-PBE
data_NpCu2P2
_cell_length_a 3.673
_cell_length_b 23.091
_cell_length_c 3.674
_cell_angle_alpha 90.00
_cell_angle_beta 90.00
_cell_angle_gamma 90.00
_symmetry_space_group_name_H-M 'C m c m'
_symmetry_Int_Tables_number 63
_symmetry_space_group_name_Hall '-C 2c 2'
loop_
_atom_site_label
_atom_site_fract_x
_atom_site_fract_y
_atom_site_fract_z
Np1 0.000 0.154 0.250
Cu1 0.000 0.040 0.750
Cu2 0.000 0.459 0.750
P1 0.000 0.250 0.750
P2 0.000 0.393 0.250
# - total magnetization (μB per atom) = 0.694
# - calculated volume (Å³/f.u.) = 77.9
# - density of states at the Fermi level (states/eV/cell) = 25.0
# - calculated formation energy (meV per atom) = -451
# - uncorrected energy (eV per cell) = -136.84

=====

3.
# Np3Cu2P4, optimized geometry, DFT GGA-PBE
data_Np3Cu2P4
_cell_length_a 12.613
_cell_length_b 3.819
_cell_length_c 8.309
_cell_angle_alpha 90.00
_cell_angle_beta 125.48
_cell_angle_gamma 90.00
_symmetry_space_group_name_H-M 'C 1 2/m 1'
_symmetry_Int_Tables_number 12
_symmetry_space_group_name_Hall '-C 2y'
loop_
_atom_site_label
_atom_site_fract_x
_atom_site_fract_y
_atom_site_fract_z
Np1 0.000 0.000 0.000
Np2 0.124 0.500 0.709
Cu1 0.184 0.500 0.373
P1 0.079 0.000 0.392
P2 0.181 0.500 0.089
# - total magnetization (μB per atom) = 1.206
# - calculated volume (Å³/f.u.) = 163.0
# - density of states at the Fermi level (states/eV/cell) = 38.1
# - calculated formation energy (meV per atom) = -648
# - uncorrected energy (eV per cell) = -148.97

=====

4.
# NpCuP, optimized geometry, DFT GGA-PBE
data_NpCuP
_cell_length_a 4.3726
_cell_length_b 4.3726
_cell_length_c 19.3372
_cell_angle_alpha 90.00
_cell_angle_beta 90.00
_cell_angle_gamma 120.00
_symmetry_space_group_name_H-M 'R -3 m'
_symmetry_Int_Tables_number 166
_symmetry_space_group_name_Hall '-R 3 2"'
loop_
_atom_site_label
_atom_site_fract_x
_atom_site_fract_y
_atom_site_fract_z
Np1 0.0000 0.0000 0.1629
Cu1 0.0000 0.0000 0.3119
P1 0.0000 0.0000 0.4283
# - total magnetization (μB per atom) = 0.512
# - calculated volume (Å³/f.u.) = 53.4
# - density of states at the Fermi level (states/eV/cell) = 19.6
# - calculated formation energy (meV per atom) = 18
# - uncorrected energy (eV per cell) = -134.35

=====

5.
# NpCuP, optimized geometry, DFT GGA-PBE
data_NpCuP
_cell_length_a 4.5341
_cell_length_b 4.5341
_cell_length_c 20.1857
_cell_angle_alpha 90.00
_cell_angle_beta 90.00
_cell_angle_gamma 120.00
_symmetry_space_group_name_H-M 'R -3 m'
_symmetry_Int_Tables_number 166
_symmetry_space_group_name_Hall '-R 3 2"'
loop_
_atom_site_label
_atom_site_fract_x
_atom_site_fract_y
_atom_site_fract_z
Np1 0.0000 0.0000 0.0848
Cu1 0.0000 0.0000 0.3326
P1 0.0000 0.0000 0.2173
# - total magnetization (μB per atom) = 1.172
# - calculated volume (Å³/f.u.) = 59.9
# - density of states at the Fermi level (states/eV/cell) = 50.7
# - calculated formation energy (meV per atom) = -141
# - uncorrected energy (eV per cell) = -137.22

=====

6.
# NpCu2P2Pt7, optimized geometry, DFT GGA-PBE
data_NpCu2P2Pt7
_cell_length_a 5.641
_cell_length_b 5.607
_cell_length_c 12.531
_cell_angle_alpha 90.00
_cell_angle_beta 95.70
_cell_angle_gamma 90.00
_symmetry_space_group_name_H-M 'C 1 2/m 1'
_symmetry_Int_Tables_number 12
_symmetry_space_group_name_Hall '-C 2y'
loop_
_atom_site_label
_atom_site_fract_x
_atom_site_fract_y
_atom_site_fract_z
Np1 0.000 0.000 0.000
Cu1 0.075 0.000 0.342
P1 0.067 0.500 0.298
Pt1 0.000 0.500 0.000
Pt2 0.211 0.250 0.814
Pt3 0.236 0.500 0.468
# - total magnetization (μB per atom) = 0.290
# - calculated volume (Å³/f.u.) = 197.2
# - density of states at the Fermi level (states/eV/cell) = 24.4
# - calculated formation energy (meV per atom) = -283
# - uncorrected energy (eV per cell) = -155.27

=====

7.
# NpCuPSe, optimized geometry, DFT GGA-PBE
data_NpCuPSe
_cell_length_a 3.958
_cell_length_b 3.958
_cell_length_c 9.267
_cell_angle_alpha 90.00
_cell_angle_beta 90.00
_cell_angle_gamma 90.00
_symmetry_space_group_name_H-M 'P 4/n m m'
_symmetry_Int_Tables_number 129
loop_
_symmetry_equiv_pos_as_xyz
'x,y,z'
'-x,-y,-z'
'-y+1/2,x,z'
'y+1/2,-x,-z'
'-x+1/2,-y+1/2,z'
'x+1/2,y+1/2,-z'
'y,-x+1/2,z'
'-y,x+1/2,-z'
'x+1/2,-y,-z'
'-x+1/2,y,z'
'-y,-x,-z'
'y,x,z'
'-x,y+1/2,-z'
'x,-y+1/2,z'
'y+1/2,x+1/2,-z'
'-y+1/2,-x+1/2,z'
loop_
_atom_site_label
_atom_site_fract_x
_atom_site_fract_y
_atom_site_fract_z
Np1 0.250 0.250 0.237
Cu1 0.250 0.750 0.500
P1 0.250 0.250 0.656
Se1 0.250 0.750 0.000
# - total magnetization (μB per atom) = 0.966
# - calculated volume (Å³/f.u.) = 72.6
# - density of states at the Fermi level (states/eV/cell) = 16.5
# - E_form (uncorrected) (eV/atom) = -0.5792
# - uncorrected energy (eV per cell) = -56.50

=====

8.
# NpPa2Cu, optimized geometry, DFT GGA-PBE
data_NpPa2Cu
_cell_length_a 5.151
_cell_length_b 5.151
_cell_length_c 3.111
_cell_angle_alpha 90.00
_cell_angle_beta 90.00
_cell_angle_gamma 90.00
_symmetry_space_group_name_H-M 'P 4/m m m'
_symmetry_Int_Tables_number 123
_symmetry_space_group_name_Hall '-P 4 2'
loop_
_atom_site_label
_atom_site_fract_x
_atom_site_fract_y
_atom_site_fract_z
Np1 0.000 0.000 0.000
Pa1 0.000 0.500 0.500
Cu1 0.500 0.500 0.000
# - total magnetization (μB per atom) = 0.655
# - calculated volume (Å³/f.u.) = 82.6
# - density of states at the Fermi level (states/eV/cell) = 7.3
# - calculated formation energy (meV per atom) = 66
# - uncorrected energy (eV per cell) = -35.77

=====

Q: What is the formula in the fourth record?
A: NpCuP

=====

Q: Which of these has the lowest density of states at the Fermi level?
A: NpPa2Cu

=====

Q: The highest density of states at the Fermi level belongs to which entry?
A: number 5